# 1
# Pm2HoCd5

A relaxed structure of Pm2HoCd5 (PBE, Alexandria).

abc: 5.1520 5.1520 8.5114
angles: 107.62 107.62 90.00
With the nearest neighbours (Å) after each atom.
Positions (direct):
Pm1 0.7383 0.7383 0.4766  8 Cd 3.20-3.43
Pm2 0.2617 0.2617 0.5234  8 Cd 3.20-3.43
Ho1 0.0000 0.0000 0.0000  8 Cd 3.12
Cd1 0.5000 0.5000 0.0000  8 Cd 3.12
Cd2 0.8853 0.3853 0.7705  2 Cd 3.12, 2 Ho 3.12, 4 Pm 3.20-3.43
Cd3 0.3853 0.8853 0.7705  2 Cd 3.12, 2 Ho 3.12, 4 Pm 3.20-3.43
Cd4 0.1147 0.6147 0.2295  2 Ho 3.12, 2 Cd 3.12, 4 Pm 3.20-3.43
Cd5 0.6147 0.1147 0.2295  2 Cd 3.12, 2 Ho 3.12, 4 Pm 3.20-3.43

Output
space group = No. 139

# 2
# CeTmNiRu

A relaxed structure of CeTmNiRu (PBE, Alexandria).

abc: 4.8036 4.8036 4.8036
angles: 60.00 60.00 60.00
With the nearest neighbours (Å) after each atom.
Positions (direct):
Ru1 0.7500 0.7500 0.7500  4 Tm 2.94, 4 Ce 2.94
Tm1 0.0000 0.0000 0.0000  4 Ni 2.94, 4 Ru 2.94
Ce1 0.5000 0.5000 0.5000  4 Ni 2.94, 4 Ru 2.94
Ni1 0.2500 0.2500 0.2500  4 Ce 2.94, 4 Tm 2.94

Output
space group = No. 216

# 3
# Pr3AlGe2Pd9

A relaxed structure of Pr3AlGe2Pd9 (PBE, Alexandria).

abc: 6.4818 6.4818 8.9125
angles: 90.00 90.00 120.00
With the nearest neighbours (Å) after each atom.
Positions (direct):
Pr1 0.3333 0.6667 0.6946  9 Pd 3.26-3.30
Pr2 0.0000 0.0000 0.0000  12 Pd 3.02-3.24
Pr3 0.6667 0.3333 0.3054  9 Pd 3.26-3.30
Al1 0.0000 0.0000 0.5000  6 Pd 2.46
Ge1 0.3333 0.6667 0.1831  6 Pd 2.36-2.48
Ge2 0.6667 0.3333 0.8169  6 Pd 2.36-2.48
Pd1 0.8591 0.1409 0.7117  1 Ge 2.36, 1 Al 2.46
Pd2 0.8591 0.7182 0.7117  1 Ge 2.36, 1 Al 2.46
Pd3 0.2818 0.1409 0.7117  1 Ge 2.36, 1 Al 2.46
Pd4 0.7182 0.8591 0.2883  1 Ge 2.36, 1 Al 2.46
Pd5 0.1409 0.2818 0.2883  1 Ge 2.36, 1 Al 2.46
Pd6 0.1409 0.8591 0.2883  1 Ge 2.36, 1 Al 2.46
Pd7 0.5000 0.0000 0.0000  2 Ge 2.48
Pd8 0.0000 0.5000 0.0000  2 Ge 2.48
Pd9 0.5000 0.5000 0.0000  2 Ge 2.48

Output
space group = No. 164

no.,formation enthalpy at 0 K (eV/f.u.),N(E_F) (states/eV per cell)
1,-2.41,5.14
2,-1.48,4.17
3,-8.72,3.61